A geometry-optimized Cr2SN structure, computed with PBE.

Output
Electronic total energy (eV/atom): -8.313
Energy above the most stable polymorph in this dataset (eV/atom): 0.000
V (Å³ per cell): 109.56
Formation energy from raw total energies (eV per formula unit): -1.55

a = 4.801 Å, b = 4.801 Å, c = 5.841 Å
α = 65.73°, β = 65.73°, γ = 90.00°
Last column: magnetic moment on the atom in μB.
Sites, in units of the cell vectors:
S 0.000 0.000 0.000  -0.07
Cr 0.193 0.625 0.250  2.07
N 0.500 0.500 0.000  -0.13
Cr 0.557 0.125 0.250  2.06
Cr 0.375 0.443 0.750  2.04
Cr 0.875 0.807 0.750  2.06
S 0.750 0.250 0.500  -0.07
N 0.250 0.750 0.500  -0.13